# 1
Entry from Alexandria via LeMat-Bulk: a relaxed NaLiBeSe2 crystal (GGA-PBE).

## Properties
Relative energy among the computed polymorphs   0 meV/atom
Formation energy without anion corrections   -0.872 eV per atom
Crystal system   monoclinic

Geometry as POSCAR:
```
NaLiBeSe2
1.0
5.6830 0.0000 0.0000
0.0000 6.3800 0.8725
0.0000 -1.0389 7.0230
Se Na Li Be
4 2 2 2
Direct
0.2559 0.2178 0.0026 Se
0.7441 0.2178 0.5026 Se
0.7441 0.7822 0.9974 Se
0.2559 0.7822 0.4974 Se
0.0097 0.5000 0.7500 Na
0.9903 0.5000 0.2500 Na
0.4997 0.0000 0.7500 Li
0.5003 0.0000 0.2500 Li
0.0000 0.0000 0.5000 Be
0.0000 0.0000 0.0000 Be
```



# 2
Entry from Alexandria via LeMat-Bulk: a relaxed NaLiBeSe2 crystal (GGA-PBE).

## Properties
Relative energy among the computed polymorphs   704 meV/atom
Formation energy without anion corrections   -0.168 eV per atom
Crystal system   tetragonal

Geometry as POSCAR:
```
NaLiBeSe2
1.0
4.7715 0.0000 0.0000
0.0000 4.7121 0.0000
0.0000 0.0000 4.7715
Be Na Se Li
1 1 2 1
Direct
0.0000 0.0000 0.0000 Be
0.0000 0.5000 0.0000 Na
0.5000 0.0000 0.0000 Se
0.0000 0.0000 0.5000 Se
0.5000 0.5000 0.5000 Li
```



# 3
Entry from Alexandria via LeMat-Bulk: a relaxed Na2LiBeSi crystal (GGA-PBE).

## Properties
Formation energy without anion corrections   0.778 eV per atom
Crystal system   tetragonal

Geometry as POSCAR:
```
Na2LiBeSi
1.0
4.8613 0.0000 0.0000
0.0000 4.5828 0.0000
0.0000 0.0000 4.8613
Na Li Si Be
2 1 1 1
Direct
0.5000 0.0000 0.0000 Na
0.0000 0.0000 0.5000 Na
0.0000 0.0000 0.0000 Li
0.0000 0.5000 0.0000 Si
0.5000 0.5000 0.5000 Be
```